No. 1
Crystalline Th6TeIr2Os3 at its relaxed geometry, computed with PBE.

Cell lengths 9.3565, 9.3565, 8.5095 Å; angles 103.48, 103.48, 25.63 degrees
Fractional coordinates of all 12 atoms:
Th (0.0018, 0.0018, 0.2819)
Th (0.3186, 0.3186, 0.9108)
Th (0.3317, 0.3317, 0.4125)
Th (0.6683, 0.6683, 0.5875)
Th (0.6814, 0.6814, 0.0892)
Th (0.9982, 0.9982, 0.7181)
Te (0.5000, 0.5000, 0.0000)
Ir (0.1677, 0.1677, 0.3347)
Ir (0.8323, 0.8323, 0.6653)
Os (0.1613, 0.1613, 0.8319)
Os (0.5000, 0.5000, 0.5000)
Os (0.8387, 0.8387, 0.1681)

The value obtained for the total energy is -105.92 eV per formula unit. The crystal system is monoclinic. The calculation puts the density at 13.13 g/cm3. For the total magnetization, the calculation gives 0.00 Bohr magnetons per cell. The space-group type is C2/m, No. 12. For the volume, the calculation gives 26.1 Å³/atom.



No. 2
Crystalline Pr5Pa at its relaxed geometry, computed with PBE.

Cell lengths 5.1309, 15.4468, 5.1188 Å; angles 90.00, 90.00, 90.00 degrees
Fractional coordinates of all 12 atoms:
Pr (0.0000, 0.0000, 0.0000)
Pr (0.0000, 0.1568, 0.5000)
Pr (0.0000, 0.3436, 0.0000)
Pr (0.0000, 0.6564, 0.0000)
Pr (0.0000, 0.8432, 0.5000)
Pr (0.5000, 0.1564, 0.0000)
Pr (0.5000, 0.3432, 0.5000)
Pr (0.5000, 0.5000, 0.0000)
Pr (0.5000, 0.6568, 0.5000)
Pr (0.5000, 0.8436, 0.0000)
Pa (0.0000, 0.5000, 0.5000)
Pa (0.5000, 0.0000, 0.5000)

As for the energy relative to the elements: 0.1715 eV/atom. The value obtained for the total energy is -32.36 eV per formula unit. The crystal system is orthorhombic. The calculation puts the density at 7.66 g/cm3. For the total magnetization, the calculation gives 0.00 Bohr magnetons per cell. The space-group type is Cmmm, No. 65. For the volume, the calculation gives 33.8 Å³/atom.



No. 3
Crystalline Zr2ZnCuN at its relaxed geometry, computed with PBE.

Cell lengths 3.5048, 3.5048, 12.2140 Å; angles 90.00, 90.00, 90.00 degrees
Fractional coordinates of all 10 atoms:
Zr (0.2500, 0.2500, 0.0877)
Zr (0.2500, 0.2500, 0.7332)
Zr (0.7500, 0.7500, 0.2668)
Zr (0.7500, 0.7500, 0.9123)
Zn (0.2500, 0.7500, 0.5000)
Zn (0.7500, 0.2500, 0.5000)
Cu (0.2500, 0.2500, 0.3491)
Cu (0.7500, 0.7500, 0.6509)
N (0.2500, 0.2500, 0.9072)
N (0.7500, 0.7500, 0.0928)

The value obtained for the total energy is -34.32 eV per formula unit. The crystal system is tetragonal. The calculation puts the density at 7.20 g/cm3. For the total magnetization, the calculation gives 0.00 Bohr magnetons per cell. The space-group type is P4/nmm, No. 129. For the volume, the calculation gives 15.0 Å³/atom.



What did the third record say?
Crystalline Zr2ZnCuN at its relaxed geometry, computed with PBE.

Cell lengths 3.5048, 3.5048, 12.2140 Å; angles 90.00, 90.00, 90.00 degrees
Fractional coordinates of all 10 atoms:
Zr (0.2500, 0.2500, 0.0877)
Zr (0.2500, 0.2500, 0.7332)
Zr (0.7500, 0.7500, 0.2668)
Zr (0.7500, 0.7500, 0.9123)
Zn (0.2500, 0.7500, 0.5000)
Zn (0.7500, 0.2500, 0.5000)
Cu (0.2500, 0.2500, 0.3491)
Cu (0.7500, 0.7500, 0.6509)
N (0.2500, 0.2500, 0.9072)
N (0.7500, 0.7500, 0.0928)

The value obtained for the total energy is -34.32 eV per formula unit. The crystal system is tetragonal. The calculation puts the density at 7.20 g/cm3. For the total magnetization, the calculation gives 0.00 Bohr magnetons per cell. The space-group type is P4/nmm, No. 129. For the volume, the calculation gives 15.0 Å³/atom.



Q: Number 1 is which compound?
A: Th6TeIr2Os3